Record 1
# TmPu2HfAs4

A geometry-optimized TmPu2HfAs4 structure (PBE-GGA, Alexandria).

abc: 6.970 4.035 7.010
angles: 90.00 109.42 90.00
Space group P2/m (No. 10)
Inequivalent atoms, fractional coordinates:
Tm1 0.000 0.000 0.000 x1
Pu1 0.500 0.000 0.500 x1
Pu2 0.500 0.500 0.000 x1
Hf1 0.000 0.500 0.500 x1
As1 0.236 0.000 0.738 x2
As2 0.241 0.500 0.255 x2

Properties
Formation energy from the elements in eV per atom: -1.163
Total moment in μB per cell: 10.43
Crystal system: monoclinic
N(E_F) in states/eV per atom: 2.58


Record 2
# PuHf2UAs4

A geometry-optimized PuHf2UAs4 structure (PBE-GGA, Alexandria).

abc: 6.805 3.943 6.950
angles: 90.00 109.20 90.00
Space group P2/m (No. 10)
Inequivalent atoms, fractional coordinates:
Pu1 0.000 0.000 0.000 x1
Hf1 0.000 0.500 0.500 x1
Hf2 0.500 0.000 0.500 x1
U1 0.500 0.500 0.000 x1
As1 0.245 0.000 0.732 x2
As2 0.257 0.500 0.268 x2

Properties
Formation energy from the elements in eV per atom: -0.980
Total moment in μB per cell: 7.66
Crystal system: monoclinic
N(E_F) in states/eV per atom: 1.85


Record 3
# PuHfU2As5

A geometry-optimized PuHfU2As5 structure (PBE-GGA, Alexandria).

abc: 4.786 4.786 10.531
angles: 90.00 90.00 90.00
Space group P4/mmm (No. 123)
Inequivalent atoms, fractional coordinates:
Pu1 0.000 0.000 0.000 x1
Hf1 0.000 0.000 0.500 x1
U1 0.500 0.500 0.306 x2
As1 0.000 0.000 0.252 x2
As2 0.000 0.500 0.500 x2
As3 0.500 0.500 0.000 x1

Properties
Formation energy from the elements in eV per atom: -0.234
Total moment in μB per cell: 9.33
Crystal system: tetragonal
N(E_F) in states/eV per atom: 3.49


Record 4
# PuHfU2As4

A geometry-optimized PuHfU2As4 structure (PBE-GGA, Alexandria).

abc: 6.964 4.001 7.006
angles: 90.00 108.99 90.00
Space group P2/m (No. 10)
Inequivalent atoms, fractional coordinates:
Pu1 0.000 0.000 0.000 x1
Hf1 0.500 0.500 0.000 x1
U1 0.000 0.500 0.500 x1
U2 0.500 0.000 0.500 x1
As1 0.258 0.500 0.245 x2
As2 0.262 0.000 0.761 x2

Properties
Formation energy from the elements in eV per atom: -0.868
Total moment in μB per cell: 5.29
Crystal system: monoclinic
N(E_F) in states/eV per atom: 2.45


Record 5
# Pu2HfUAs4

A geometry-optimized Pu2HfUAs4 structure (PBE-GGA, Alexandria).

abc: 6.969 4.021 7.044
angles: 90.00 109.04 90.00
Space group P2/m (No. 10)
Inequivalent atoms, fractional coordinates:
Pu1 0.000 0.000 0.000 x1
Pu2 0.500 0.500 0.000 x1
Hf1 0.000 0.500 0.500 x1
U1 0.500 0.000 0.500 x1
As1 0.237 0.000 0.735 x2
As2 0.244 0.500 0.260 x2

Properties
Formation energy from the elements in eV per atom: -0.952
Total moment in μB per cell: 8.62
Crystal system: monoclinic
N(E_F) in states/eV per atom: 3.23


Record 6
# Y2PuHfAs4

A geometry-optimized Y2PuHfAs4 structure (PBE-GGA, Alexandria).

abc: 6.998 4.044 7.005
angles: 90.00 109.25 90.00
Space group P2/m (No. 10)
Inequivalent atoms, fractional coordinates:
Y1 0.000 0.000 0.000 x1
Y2 0.500 0.500 0.000 x1
Pu1 0.000 0.500 0.500 x1
Hf1 0.500 0.000 0.500 x1
As1 0.257 0.000 0.742 x2
As2 0.263 0.500 0.263 x2

Properties
Formation energy from the elements in eV per atom: -1.283
Total moment in μB per cell: 5.24
Crystal system: monoclinic
N(E_F) in states/eV per atom: 1.54


Record 7
# YPu2HfAs4

A geometry-optimized YPu2HfAs4 structure (PBE-GGA, Alexandria).

abc: 6.996 4.049 7.039
angles: 90.00 109.39 90.00
Space group P2/m (No. 10)
Inequivalent atoms, fractional coordinates:
Y1 0.000 0.000 0.000 x1
Pu1 0.500 0.000 0.500 x1
Pu2 0.500 0.500 0.000 x1
Hf1 0.000 0.500 0.500 x1
As1 0.237 0.000 0.736 x2
As2 0.244 0.500 0.259 x2

Properties
Formation energy from the elements in eV per atom: -1.172
Total moment in μB per cell: 10.44
Crystal system: monoclinic
N(E_F) in states/eV per atom: 2.60


Record 8
# Pu2HfZrAs4

A geometry-optimized Pu2HfZrAs4 structure (PBE-GGA, Alexandria).

abc: 6.898 3.976 6.917
angles: 90.00 109.32 90.00
Space group P2/m (No. 10)
Inequivalent atoms, fractional coordinates:
Pu1 0.000 0.000 0.000 x1
Pu2 0.500 0.500 0.000 x1
Hf1 0.000 0.500 0.500 x1
Zr1 0.500 0.000 0.500 x1
As1 0.243 0.000 0.732 x2
As2 0.253 0.500 0.266 x2

Properties
Formation energy from the elements in eV per atom: -1.096
Total moment in μB per cell: 0.04
Crystal system: monoclinic
N(E_F) in states/eV per atom: 2.69


Record 9
# RbHfAs2

A geometry-optimized RbHfAs2 structure (PBE-GGA, Alexandria).

abc: 6.489 6.489 15.487
angles: 90.00 90.00 90.00
Space group I-42d (No. 122)
Inequivalent atoms, fractional coordinates:
Rb1 0.000 0.000 0.000 x4
Hf1 0.000 0.000 0.500 x4
As1 0.004 0.250 0.625 x8

Properties
Formation energy from the elements in eV per atom: -0.370
Total moment in μB per cell: 0.00
Crystal system: tetragonal
N(E_F) in states/eV per atom: 0.33
ΔE to the lowest computed polymorph in meV/atom: 239


Record 10
# RbHf2As2

A geometry-optimized RbHf2As2 structure (PBE-GGA, Alexandria).

abc: 4.494 4.494 14.666
angles: 90.00 90.00 90.00
Space group I4/mmm (No. 139)
Inequivalent atoms, fractional coordinates:
Rb1 0.000 0.000 0.000 x2
Hf1 0.000 0.500 0.250 x4
As1 0.000 0.000 0.350 x4

Properties
Formation energy from the elements in eV per atom: -0.607
Total moment in μB per cell: 0.00
Crystal system: tetragonal
N(E_F) in states/eV per atom: 0.58
ΔE to the lowest computed polymorph in meV/atom: 0


Record 11
# Rb2HfAs2

A geometry-optimized Rb2HfAs2 structure (PBE-GGA, Alexandria).

abc: 4.250 4.250 47.646
angles: 90.00 90.00 90.00
Space group I4_1/amd (No. 141, origin choice 2)
Inequivalent atoms, fractional coordinates:
Rb1 0.000 0.250 0.056 x8
Hf1 0.000 0.250 0.375 x4
As1 0.000 0.250 0.157 x8

Properties
Formation energy from the elements in eV per atom: -0.414
Total moment in μB per cell: 0.00
Crystal system: tetragonal
N(E_F) in states/eV per atom: 0.49


Record 12
# RbHfAs2

A geometry-optimized RbHfAs2 structure (PBE-GGA, Alexandria).

abc: 4.0306 4.0306 23.8704
angles: 90.00 90.00 120.00
Space group R-3m (No. 166, hexagonal axes)
Inequivalent atoms, fractional coordinates:
Rb1 0.0000 0.0000 0.0000 x3
Hf1 0.0000 0.0000 0.5000 x3
As1 0.0000 0.0000 0.2261 x6

Properties
Formation energy from the elements in eV per atom: -0.609
Total moment in μB per cell: 0.00
Crystal system: trigonal
N(E_F) in states/eV per atom: 0.60
ΔE to the lowest computed polymorph in meV/atom: 0


Record 13
# RbHf2As

A geometry-optimized RbHf2As structure (PBE-GGA, Alexandria).

abc: 7.058 7.058 7.058
angles: 90.00 90.00 90.00
Space group Fm-3m (No. 225)
Inequivalent atoms, fractional coordinates:
Rb1 0.000 0.000 0.000 x4
Hf1 0.250 0.250 0.250 x8
As1 0.000 0.000 0.500 x4

Properties
Formation energy from the elements in eV per atom: 0.861
Total moment in μB per cell: 0.00
Crystal system: cubic
N(E_F) in states/eV per atom: 0.19
ΔE to the lowest computed polymorph in meV/atom: 233


Record 14
# RbHf3As

A geometry-optimized RbHf3As structure (PBE-GGA, Alexandria).

abc: 5.034 5.034 5.034
angles: 90.00 90.00 90.00
Space group Pm-3m (No. 221)
Inequivalent atoms, fractional coordinates:
Rb1 0.000 0.000 0.000 x1
Hf1 0.000 0.000 0.500 x3
As1 0.500 0.500 0.500 x1

Properties
Formation energy from the elements in eV per atom: 2.374
Total moment in μB per cell: 0.00
Crystal system: cubic
N(E_F) in states/eV per atom: 1.64
ΔE to the lowest computed polymorph in meV/atom: 1670


Record 15
# RbHf2As3

A geometry-optimized RbHf2As3 structure (PBE-GGA, Alexandria).

abc: 4.442 16.047 9.907
angles: 90.00 90.00 90.00
Space group Cmcm (No. 63)
Inequivalent atoms, fractional coordinates:
Rb1 0.000 0.236 0.250 x4
Hf1 0.000 0.000 0.000 x4
Hf2 0.000 0.496 0.250 x4
As1 0.000 0.085 0.750 x4
As2 0.000 0.397 0.550 x8

Properties
Formation energy from the elements in eV per atom: -0.665
Total moment in μB per cell: 0.00
Crystal system: orthorhombic
N(E_F) in states/eV per atom: 0.15


Record 16
# RbHf3As

A geometry-optimized RbHf3As structure (PBE-GGA, Alexandria).

abc: 5.185 5.185 5.185
angles: 90.00 90.00 90.00
Space group Pm-3m (No. 221)
Inequivalent atoms, fractional coordinates:
Rb1 0.000 0.000 0.000 x1
Hf1 0.000 0.500 0.500 x3
As1 0.500 0.500 0.500 x1

Properties
Formation energy from the elements in eV per atom: 0.704
Total moment in μB per cell: 0.00
Crystal system: cubic
N(E_F) in states/eV per atom: 1.40
ΔE to the lowest computed polymorph in meV/atom: 0


Record 17
# RbHf2As

A geometry-optimized RbHf2As structure (PBE-GGA, Alexandria).

abc: 5.384 5.384 19.131
angles: 90.00 90.00 90.00
Space group I-42d (No. 122)
Inequivalent atoms, fractional coordinates:
Rb1 0.000 0.000 0.000 x4
Hf1 0.014 0.250 0.625 x8
As1 0.000 0.000 0.500 x4

Properties
Formation energy from the elements in eV per atom: 0.629
Total moment in μB per cell: 0.00
Crystal system: tetragonal
N(E_F) in states/eV per atom: 0.87
ΔE to the lowest computed polymorph in meV/atom: 0


Record 18
# RbHfAs2

A geometry-optimized RbHfAs2 structure (PBE-GGA, Alexandria).

abc: 7.195 7.195 7.195
angles: 90.00 90.00 90.00
Space group Fm-3m (No. 225)
Inequivalent atoms, fractional coordinates:
Rb1 0.000 0.000 0.000 x4
Hf1 0.000 0.000 0.500 x4
As1 0.250 0.250 0.250 x8

Properties
Formation energy from the elements in eV per atom: 0.094
Total moment in μB per cell: 0.00
Crystal system: cubic
N(E_F) in states/eV per atom: 0.49
ΔE to the lowest computed polymorph in meV/atom: 703


Record 19
# Rb2HfAsS4

A geometry-optimized Rb2HfAsS4 structure (PBE-GGA, Alexandria).

abc: 5.582 14.905 25.619
angles: 90.00 90.00 90.00
Space group Fddd (No. 70, origin choice 2)
Inequivalent atoms, fractional coordinates:
Rb1 0.125 0.125 0.299 x16
Hf1 0.125 0.125 0.125 x8
As1 0.125 0.125 0.625 x8
S1 0.099 0.273 0.432 x32

Properties
E_form (uncorrected) in eV per formula unit: -6.9
Total moment in μB per cell: 0.00
Crystal system: orthorhombic
N(E_F) in states/eV per atom: 0.45


Record 20
# Rb2Hf2Sb2As

A geometry-optimized Rb2Hf2Sb2As structure (PBE-GGA, Alexandria).

abc: 5.060 5.060 18.585
angles: 90.00 90.00 90.00
Space group I4/mmm (No. 139)
Inequivalent atoms, fractional coordinates:
Rb1 0.000 0.000 0.182 x4
Hf1 0.000 0.500 0.000 x4
Sb1 0.000 0.000 0.398 x4
As1 0.000 0.000 0.000 x2

Properties
E_form (uncorrected) in eV per formula unit: -3.4
Total moment in μB per cell: 1.22
Crystal system: tetragonal
N(E_F) in states/eV per atom: 0.59


Record 21
# RbHfAs2Se

A geometry-optimized RbHfAs2Se structure (PBE-GGA, Alexandria).

abc: 5.243 5.243 5.310
angles: 90.00 90.00 90.00
Space group P4/mmm (No. 123)
Inequivalent atoms, fractional coordinates:
Rb1 0.000 0.000 0.000 x1
Hf1 0.500 0.500 0.500 x1
As1 0.000 0.500 0.500 x2
Se1 0.500 0.500 0.000 x1

Properties
E_form (uncorrected) in eV per formula unit: -2.5
Total moment in μB per cell: 0.00
Crystal system: tetragonal
N(E_F) in states/eV per atom: 0.96
ΔE to the lowest computed polymorph in meV/atom: 0


Record 22
# Rb2HfAs2Se6

A geometry-optimized Rb2HfAs2Se6 structure (PBE-GGA, Alexandria).

abc: 11.085 7.401 8.770
angles: 90.00 106.87 90.00
Space group C2/m (No. 12)
Inequivalent atoms, fractional coordinates:
Rb1 0.188 0.000 0.110 x4
Hf1 0.000 0.000 0.500 x2
As1 0.099 0.500 0.243 x4
Se1 0.039 0.242 0.743 x8
Se2 0.241 0.000 0.510 x4

Properties
E_form (uncorrected) in eV per formula unit: -7.8
Total moment in μB per cell: 0.00
Crystal system: monoclinic
N(E_F) in states/eV per atom: 0.08


Record 23
# RbHfAs2Se

A geometry-optimized RbHfAs2Se structure (PBE-GGA, Alexandria).

abc: 5.261 5.261 5.442
angles: 90.00 90.00 90.00
Space group P4/mmm (No. 123)
Inequivalent atoms, fractional coordinates:
Rb1 0.000 0.000 0.000 x1
Hf1 0.500 0.500 0.500 x1
As1 0.000 0.500 0.000 x2
Se1 0.000 0.000 0.500 x1

Properties
E_form (uncorrected) in eV per formula unit: 8.1
Total moment in μB per cell: 0.00
Crystal system: tetragonal
N(E_F) in states/eV per atom: 1.16
ΔE to the lowest computed polymorph in meV/atom: 2119


Record 24
# RbSr2HfAs

A geometry-optimized RbSr2HfAs structure (PBE-GGA, Alexandria).

abc: 6.282 6.282 5.224
angles: 90.00 90.00 90.00
Space group P4/mmm (No. 123)
Inequivalent atoms, fractional coordinates:
Rb1 0.000 0.000 0.000 x1
Sr1 0.000 0.500 0.500 x2
Hf1 0.500 0.500 0.000 x1
As1 0.500 0.500 0.500 x1

Properties
Formation energy from the elements in eV per atom: 0.045
Total moment in μB per cell: 1.74
Crystal system: tetragonal
N(E_F) in states/eV per atom: 1.35


Record 25
# Hf4ReAs

A geometry-optimized Hf4ReAs structure (PBE-GGA, Alexandria).

abc: 8.499 8.499 8.080
angles: 90.00 90.00 90.00
Space group I4_1md (No. 109)
Inequivalent atoms, fractional coordinates:
Hf1 0.000 0.295 0.000 x8
Hf2 0.000 0.310 0.494 x8
Re1 0.000 0.000 0.997 x4
As1 0.000 0.000 0.501 x4

Properties
Formation energy from the elements in eV per atom: 0.138
Total moment in μB per cell: 0.00
Crystal system: tetragonal
N(E_F) in states/eV per atom: 0.62